1.
Ce3RhPb2: optimized geometry, GGA-PBE.

a = 7.7800 Å, b = 6.9485 Å, c = 8.1154 Å
α = 82.78°, β = 77.02°, γ = 55.96°
Closest atoms and distances in Å follow each position.
Atoms (fractional coordinates):
Ce1 0.6890 0.0000 0.8092  2 Rh 2.85, 2 Pb 3.15-3.18
Rh1 0.6859 0.6283 0.0000  6 Ce 2.85-2.90
Pb1 0.5000 0.0000 0.5000  6 Ce 3.18-3.27
Rh2 0.3141 0.3717 0.0000  6 Ce 2.85-2.90
Ce2 0.5455 0.3673 0.2300  2 Rh 2.86-2.90
Ce3 0.3110 0.0000 0.1908  2 Rh 2.85, 2 Pb 3.15-3.18
Ce4 0.0872 0.3673 0.7700  2 Rh 2.86-2.90
Ce5 0.9128 0.6327 0.2300  2 Rh 2.86-2.90
Pb2 0.8655 0.2690 0.5000  1 Pb 3.10, 6 Ce 3.26-3.44
Pb3 0.1345 0.7310 0.5000  1 Pb 3.10, 6 Ce 3.26-3.44
Pb4 0.0000 0.0000 0.0000  6 Ce 3.15-3.26
Ce6 0.4545 0.6327 0.7700  2 Rh 2.86-2.90

Summary:
calculated formation energy = -36.39 kJ per mole of atoms
space-group type = C2/m

=====

2.
Th6GeAu2Se3: optimized geometry, GGA-PBE.

a = 4.2509 Å, b = 8.6161 Å, c = 9.5321 Å
α = 101.52°, β = 102.88°, γ = 90.00°
Closest atoms and distances in Å follow each position.
Atoms (fractional coordinates):
Se1 0.1670 0.8335 0.3341  6 Th 3.03-3.08
Th1 0.9994 0.2432 0.9987  2 Ge 2.99, 3 Se 3.03-3.07, 1 Au 3.06
Se2 0.5000 0.5000 0.0000  6 Th 3.02-3.07
Th2 0.3362 0.9176 0.6724  1 Ge 2.98, 2 Au 3.03, 3 Se 3.03-3.08
Th3 0.0006 0.7568 0.0013  2 Ge 2.99, 3 Se 3.03-3.07, 1 Au 3.06
Au1 0.1673 0.3339 0.3345  6 Th 3.01-3.06
Se3 0.8330 0.1665 0.6659  6 Th 3.03-3.08
Au2 0.8327 0.6661 0.6655  6 Th 3.01-3.06
Ge1 0.5000 0.0000 0.0000  6 Th 2.98-2.99
Th4 0.6638 0.0824 0.3276  1 Ge 2.98, 2 Au 3.03, 3 Se 3.03-3.08
Th5 0.6660 0.5813 0.3321  3 Au 3.01-3.03, 3 Se 3.02-3.04
Th6 0.3340 0.4187 0.6679  3 Au 3.01-3.03, 3 Se 3.02-3.04

Summary:
space-group type = C2/m
raw formation energy = -1.0842 eV per atom

=====

3.
Pu3CdBi4: optimized geometry, GGA-PBE.

a = 3.4266 Å, b = 5.7463 Å, c = 11.9282 Å
α = 90.00°, β = 90.00°, γ = 90.00°
Closest atoms and distances in Å follow each position.
Atoms (fractional coordinates):
Bi1 0.0000 0.0000 0.0000  4 Pu 3.32, 4 Cd 3.35, 2 Bi 3.43
Bi2 0.0000 0.5000 0.7476  6 Pu 3.35-3.41, 2 Bi 3.43, 2 Cd 3.46
Bi3 0.0000 0.0000 0.5000  8 Pu 3.35-3.56, 2 Bi 3.43
Bi4 0.0000 0.5000 0.2524  6 Pu 3.35-3.41, 2 Bi 3.43, 2 Cd 3.46
Pu1 0.5000 0.5000 0.5000  8 Bi 3.35-3.41, 2 Pu 3.43
Pu2 0.5000 0.0000 0.7616  8 Bi 3.32-3.56, 2 Pu 3.43
Pu3 0.5000 0.0000 0.2384  8 Bi 3.32-3.56, 2 Pu 3.43
Cd1 0.5000 0.5000 0.0000  8 Bi 3.35-3.46, 2 Cd 3.43

Summary:
calculated formation energy = -20.74 kJ per mole of atoms
space-group type = Pmmm

=====

4.
FeSnSe2N: optimized geometry, GGA-PBE.

a = 5.0696 Å, b = 5.0696 Å, c = 3.4652 Å
α = 90.00°, β = 90.00°, γ = 90.00°
Closest atoms and distances in Å follow each position.
Atoms (fractional coordinates):
Se1 0.0000 0.5000 0.0000  2 Fe 2.53
N1 0.0000 0.0000 0.5000  2 Fe 1.73
Se2 0.5000 0.0000 0.0000  2 Fe 2.53
Fe1 0.0000 0.0000 0.0000  2 N 1.73
Sn1 0.5000 0.5000 0.5000  8 Se 3.07

Summary:
energy above the most stable polymorph in this dataset = 0.0 kJ per mole of atoms
space-group type = P4/mmm
raw formation energy = 0.1233 eV per atom

=====

5.
NiSn3S: optimized geometry, GGA-PBE.

a = 5.2510 Å, b = 5.2510 Å, c = 5.2510 Å
α = 90.00°, β = 90.00°, γ = 90.00°
Closest atoms and distances in Å follow each position.
Atoms (fractional coordinates):
Sn1 0.5000 0.0000 0.0000  2 S 2.63
S1 0.0000 0.0000 0.0000  6 Sn 2.63
Sn2 0.0000 0.5000 0.0000  2 S 2.63
Sn3 0.0000 0.0000 0.5000  2 S 2.63
Ni1 0.5000 0.5000 0.5000  12 Sn 3.71

Summary:
energy above the most stable polymorph in this dataset = 68.8 kJ per mole of atoms
space-group type = Pm-3m
raw formation energy = 0.7491 eV per atom

=====

6.
BaMg3Fe: optimized geometry, GGA-PBE.

a = 6.4110 Å, b = 6.4110 Å, c = 6.4110 Å
α = 90.00°, β = 90.00°, γ = 90.00°
Closest atoms and distances in Å follow each position.
Atoms (fractional coordinates):
Mg1 0.0000 0.0000 0.5000  2 Ba 3.21
Mg2 0.5000 0.0000 0.0000  2 Ba 3.21
Mg3 0.0000 0.5000 0.0000  2 Ba 3.21
Ba1 0.0000 0.0000 0.0000  6 Mg 3.21
Fe1 0.5000 0.5000 0.5000  12 Mg 4.53

Summary:
calculated formation energy = 200.44 kJ per mole of atoms
energy above the most stable polymorph in this dataset = 177.0 kJ per mole of atoms
space-group type = Pm-3m